Entry 1:
Here is a relaxed HfZnPd5 crystal from Alexandria. Energies are from GGA-PBE.

* total moment: 0.000 μB per atom
* theoretical density: 9.7 g cm⁻³
* symmetry: C2/c
* distance to the lowest polymorph of the same formula: 0.391 eV/atom

abc: 6.746 6.746 6.840
angles: 111.55 111.55 90.37
Sites, in units of the cell vectors:
Hf  0.046  0.954  0.750
Hf  0.954  0.046  0.250
Zn  0.500  0.500  0.000
Zn  0.500  0.500  0.500
Pd  0.074  0.695  0.006
Pd  0.102  0.316  0.682
Pd  0.305  0.926  0.494
Pd  0.313  0.687  0.750
Pd  0.316  0.102  0.182
Pd  0.684  0.898  0.818
Pd  0.687  0.313  0.250
Pd  0.695  0.074  0.506
Pd  0.898  0.684  0.318
Pd  0.926  0.305  0.994


Entry 2:
Here is a relaxed Hf2Zn3Pd4 crystal from Alexandria. Energies are from GGA-PBE.

* total moment: 0.000 μB per atom
* theoretical density: 10.9 g cm⁻³
* symmetry: Cmce
* distance to the lowest polymorph of the same formula: 0.112 eV/atom

abc: 7.520 7.520 7.958
angles: 90.00 90.00 138.40
Sites, in units of the cell vectors:
Hf  0.112  0.888  0.933
Hf  0.388  0.612  0.433
Hf  0.612  0.388  0.567
Hf  0.888  0.112  0.067
Zn  0.000  0.000  0.500
Zn  0.023  0.477  0.750
Zn  0.477  0.023  0.250
Zn  0.500  0.500  0.000
Zn  0.523  0.977  0.750
Zn  0.977  0.523  0.250
Pd  0.185  0.815  0.522
Pd  0.206  0.294  0.750
Pd  0.294  0.206  0.250
Pd  0.315  0.685  0.022
Pd  0.685  0.315  0.978
Pd  0.706  0.794  0.750
Pd  0.794  0.706  0.250
Pd  0.815  0.185  0.478


Entry 3:
Here is a relaxed HfZn4Pd5 crystal from Alexandria. Energies are from GGA-PBE.

* E: -46.8 eV/cell
* total moment: 0.000 μB per atom
* theoretical density: 10.6 g cm⁻³
* symmetry: P4/mmm

abc: 3.091 3.091 15.891
angles: 90.00 90.00 90.00
Sites, in units of the cell vectors:
Hf  0.000  0.000  0.000
Zn  0.000  0.000  0.214
Zn  0.000  0.000  0.405
Zn  0.000  0.000  0.595
Zn  0.000  0.000  0.786
Pd  0.500  0.500  0.117
Pd  0.500  0.500  0.310
Pd  0.500  0.500  0.500
Pd  0.500  0.500  0.690
Pd  0.500  0.500  0.883


Entry 4:
Here is a relaxed HfZnPd3 crystal from Alexandria. Energies are from GGA-PBE.

* total moment: 0.000 μB per atom
* theoretical density: 11.5 g cm⁻³
* symmetry: C2/m
* distance to the lowest polymorph of the same formula: 0.000 eV/atom

abc: 5.190 5.190 8.596
angles: 94.59 94.59 44.91
Sites, in units of the cell vectors:
Hf  0.150  0.150  0.084
Hf  0.850  0.850  0.916
Zn  0.362  0.362  0.446
Zn  0.638  0.638  0.554
Pd  0.066  0.066  0.364
Pd  0.237  0.237  0.731
Pd  0.444  0.444  0.144
Pd  0.556  0.556  0.856
Pd  0.763  0.763  0.269
Pd  0.934  0.934  0.636


Entry 5:
Here is a relaxed HfZn4Pd3 crystal from Alexandria. Energies are from GGA-PBE.

* E: -33.2 eV/cell
* total moment: 0.000 μB per atom
* theoretical density: 9.6 g cm⁻³
* symmetry: Immm

abc: 7.620 7.620 7.620
angles: 158.40 125.91 58.92
Sites, in units of the cell vectors:
Hf  0.000  0.000  0.000
Zn  0.168  0.854  0.314
Zn  0.460  0.146  0.314
Zn  0.540  0.854  0.686
Zn  0.832  0.146  0.686
Pd  0.180  0.680  0.500
Pd  0.500  0.500  0.000
Pd  0.820  0.320  0.500


Entry 6:
Here is a relaxed HfZn11Pd crystal from Alexandria. Energies are from GGA-PBE.

* E: -31.1 eV/cell
* total moment: 0.000 μB per atom
* theoretical density: 8.4 g cm⁻³
* symmetry: C2/m

abc: 6.720 6.720 6.674
angles: 98.37 98.37 134.69
Sites, in units of the cell vectors:
Hf  0.000  0.000  0.000
Zn  0.000  0.500  0.000
Zn  0.006  0.658  0.651
Zn  0.292  0.504  0.791
Zn  0.342  0.994  0.349
Zn  0.496  0.708  0.209
Zn  0.500  0.000  0.000
Zn  0.500  0.500  0.500
Zn  0.504  0.292  0.791
Zn  0.658  0.006  0.651
Zn  0.708  0.496  0.209
Zn  0.994  0.342  0.349
Pd  0.000  0.000  0.500


Entry 7:
Here is a relaxed Hf2ZnPd crystal from Alexandria. Energies are from GGA-PBE.

* E: -52.5 eV/cell
* total moment: 0.000 μB per atom
* theoretical density: 11.2 g cm⁻³
* symmetry: I-42d

abc: 5.988 5.988 5.988
angles: 102.70 102.70 124.09
Sites, in units of the cell vectors:
Hf  0.107  0.125  0.482
Hf  0.375  0.893  0.018
Hf  0.643  0.625  0.518
Hf  0.875  0.357  0.982
Zn  0.250  0.750  0.500
Zn  0.500  0.500  0.000
Pd  0.000  0.000  0.000
Pd  0.750  0.250  0.500


Entry 8:
Here is a relaxed Hf2Zn2Pd crystal from Alexandria. Energies are from GGA-PBE.

* total moment: 0.000 μB per atom
* theoretical density: 11.3 g cm⁻³
* symmetry: P4/mbm
* distance to the lowest polymorph of the same formula: 0.000 eV/atom

abc: 6.716 6.716 3.883
angles: 90.00 90.00 90.00
Sites, in units of the cell vectors:
Hf  0.171  0.329  0.000
Hf  0.329  0.829  0.000
Hf  0.671  0.171  0.000
Hf  0.829  0.671  0.000
Zn  0.130  0.630  0.500
Zn  0.370  0.130  0.500
Zn  0.630  0.870  0.500
Zn  0.870  0.370  0.500
Pd  0.000  0.000  0.500
Pd  0.500  0.500  0.500


Entry 9:
Here is a relaxed Hf2Zn12Pd crystal from Alexandria. Energies are from GGA-PBE.

* E: -82.2 eV/cell
* total moment: 0.000 μB per atom
* theoretical density: 8.3 g cm⁻³
* symmetry: P4/nbm

abc: 5.464 5.464 16.633
angles: 90.00 90.00 90.00
Sites, in units of the cell vectors:
Hf  0.250  0.750  0.247
Hf  0.250  0.750  0.753
Hf  0.750  0.250  0.247
Hf  0.750  0.250  0.753
Zn  0.000  0.000  0.398
Zn  0.000  0.000  0.602
Zn  0.000  0.500  0.398
Zn  0.000  0.500  0.602
Zn  0.082  0.582  0.068
Zn  0.082  0.918  0.932
Zn  0.250  0.250  0.160
Zn  0.250  0.250  0.300
Zn  0.250  0.250  0.700
Zn  0.250  0.250  0.840
Zn  0.418  0.582  0.932
Zn  0.418  0.918  0.068
Zn  0.500  0.000  0.398
Zn  0.500  0.000  0.602
Zn  0.500  0.500  0.398
Zn  0.500  0.500  0.602
Zn  0.582  0.082  0.932
Zn  0.582  0.418  0.068
Zn  0.750  0.750  0.160
Zn  0.750  0.750  0.300
Zn  0.750  0.750  0.700
Zn  0.750  0.750  0.840
Zn  0.918  0.082  0.068
Zn  0.918  0.418  0.932
Pd  0.250  0.750  0.500
Pd  0.750  0.250  0.500


Entry 10:
Here is a relaxed Hf6ZnPd crystal from Alexandria. Energies are from GGA-PBE.

* E: -67.3 eV/cell
* total moment: 0.000 μB per atom
* theoretical density: 12.8 g cm⁻³
* symmetry: P-1

abc: 5.435 5.436 5.437
angles: 89.74 89.80 89.98
Sites, in units of the cell vectors:
Hf  0.001  0.249  0.498
Hf  0.251  0.000  0.998
Hf  0.497  0.503  0.749
Hf  0.503  0.497  0.251
Hf  0.749  0.000  0.002
Hf  0.999  0.751  0.502
Zn  0.000  0.500  0.000
Pd  0.500  0.000  0.500


Entry 11:
Here is a relaxed Hf4Zn3Pd crystal from Alexandria. Energies are from GGA-PBE.

* E: -51.2 eV/cell
* total moment: 0.000 μB per atom
* theoretical density: 11.7 g cm⁻³
* symmetry: P4/mmm

abc: 3.321 3.321 13.129
angles: 90.00 90.00 90.00
Sites, in units of the cell vectors:
Hf  0.000  0.000  0.125
Hf  0.000  0.000  0.375
Hf  0.000  0.000  0.625
Hf  0.000  0.000  0.875
Zn  0.500  0.500  0.000
Zn  0.500  0.500  0.249
Zn  0.500  0.500  0.751
Pd  0.500  0.500  0.500